[1]
A plane-wave DFT calculation with PBE was carried out for crystalline LiGa2Pd3 at its relaxed geometry.

Cell and atoms, written as extended XYZ:
```
12
Lattice="2.5260 1.4584 8.0790 -2.5260 1.4584 8.0790 0.0000 -2.9168 8.0790" Properties=species:S:1:pos:R:3 pbc="T T T"
Li 0.0000 0.0000 0.0000
Li 0.0000 0.0000 12.1185
Ga 0.0000 0.0000 4.0101
Ga 0.0000 0.0000 8.1084
Ga 0.0000 0.0000 16.1286
Ga 0.0000 0.0000 20.2270
Pd -1.6924 -0.0145 10.0988
Pd -0.8336 -1.4729 14.1383
Pd 0.8588 -1.4584 10.0988
Pd -0.8588 1.4584 14.1383
Pd 0.8336 1.4729 10.0988
Pd 1.6924 0.0145 14.1383
```

Values from the calculation:
The calculation puts the energy above the most stable polymorph in this dataset at 0.071 eV/atom. The energy of formation from the pure elements is -559 meV per atom.


[2]
A plane-wave DFT calculation with PBE was carried out for crystalline SiB2C at its relaxed geometry.

Cell and atoms, written as extended XYZ:
```
4
Lattice="2.6106 -1.4819 0.0000 2.6106 1.4819 0.0000 -1.0179 0.0000 5.2582" Properties=species:S:1:pos:R:3 pbc="T T T"
Si 0.0000 0.0000 0.0000
B -0.0425 0.0000 2.0191
B 2.5151 0.0000 3.0023
C 2.4801 0.0000 4.5229
```

Values from the calculation:
For the formation energy without anion corrections, the calculation gives 1.5 eV/f.u. The calculation puts the energy above the most stable polymorph in this dataset at 0.120 eV/atom.


[3]
A plane-wave DFT calculation with PBE was carried out for crystalline Tb3PrTm12 at its relaxed geometry.

Cell and atoms, written as extended XYZ:
```
16
Lattice="4.9696 0.0000 0.0000 0.0000 4.9696 0.0000 0.0000 0.0000 19.8931" Properties=species:S:1:pos:R:3 pbc="T T T"
Tb 0.0000 0.0000 0.0000
Tb 0.0000 0.0000 4.9508
Tb 0.0000 0.0000 14.9423
Pr 0.0000 0.0000 9.9466
Tm 0.0000 2.4848 2.4727
Tm 0.0000 2.4848 7.4185
Tm 0.0000 2.4848 12.4746
Tm 0.0000 2.4848 17.4205
Tm 2.4848 0.0000 2.4727
Tm 2.4848 0.0000 7.4185
Tm 2.4848 0.0000 12.4746
Tm 2.4848 0.0000 17.4205
Tm 2.4848 2.4848 0.0000
Tm 2.4848 2.4848 4.9399
Tm 2.4848 2.4848 9.9466
Tm 2.4848 2.4848 14.9532
```

Values from the calculation:
The energy of formation from the pure elements is 26 meV per atom.


[4]
A plane-wave DFT calculation with PBE was carried out for crystalline ScInNiHg at its relaxed geometry.

Cell and atoms, written as extended XYZ:
```
4
Lattice="0.0000 3.3453 3.3453 3.3453 0.0000 3.3453 3.3453 3.3453 0.0000" Properties=species:S:1:pos:R:3 pbc="T T T"
Sc 0.0000 0.0000 0.0000
In 3.3453 3.3453 3.3453
Ni 1.6727 1.6727 1.6727
Hg 5.0180 5.0180 5.0180
```

Values from the calculation:
The energy of formation from the pure elements is -232 meV per atom.


[5]
A plane-wave DFT calculation with PBE was carried out for crystalline CuSi2Rh at its relaxed geometry.

Cell and atoms, written as extended XYZ:
```
4
Lattice="3.1300 0.0000 0.0000 0.0000 3.1300 0.0000 0.0000 0.0000 5.3608" Properties=species:S:1:pos:R:3 pbc="T T T"
Cu 0.0000 0.0000 0.0000
Si 1.5650 1.5650 1.3102
Si 1.5650 1.5650 4.0506
Rh 0.0000 0.0000 2.6804
```

Values from the calculation:
For the formation energy without anion corrections, the calculation gives -0.7 eV/f.u.


[6]
A plane-wave DFT calculation with PBE was carried out for crystalline BaHfPdBr at its relaxed geometry.

Cell and atoms, written as extended XYZ:
```
4
Lattice="3.8497 0.0000 0.0000 -1.9175 3.8889 0.0000 -0.0017 -1.7437 7.9777" Properties=species:S:1:pos:R:3 pbc="T T T"
Ba 0.0000 0.0000 0.0000
Hf 1.9299 1.0008 3.2084
Pd 0.0054 2.4621 2.1543
Br 0.0013 0.6308 5.4373
```

Values from the calculation:
For the formation energy without anion corrections, the calculation gives -2.4 eV/f.u. The calculation puts the energy above the most stable polymorph in this dataset at 0.064 eV/atom.


[7]
A plane-wave DFT calculation with PBE was carried out for crystalline Ho3Th2UP6 at its relaxed geometry.

Cell and atoms, written as extended XYZ:
```
12
Lattice="8.7900 -2.0174 0.0000 8.7900 2.0174 0.0000 -1.8380 0.0000 7.8569" Properties=species:S:1:pos:R:3 pbc="T T T"
Ho 0.0000 0.0000 0.0000
Ho 4.6129 0.0000 5.2385
Ho 11.1290 0.0000 2.6184
Th 5.5763 0.0000 1.3220
Th 10.1656 0.0000 6.5349
U -0.9190 0.0000 3.9284
P 2.7376 0.0000 0.6948
P 1.8431 0.0000 4.5198
P 7.3674 0.0000 5.8502
P 8.3746 0.0000 2.0067
P 13.8989 0.0000 3.3371
P 13.0043 0.0000 7.1621
```

Values from the calculation:
The energy of formation from the pure elements is -1474 meV per atom.


[8]
A plane-wave DFT calculation with PBE was carried out for crystalline TaAl2Os at its relaxed geometry.

Cell and atoms, written as extended XYZ:
```
4
Lattice="-1.4980 2.3439 4.4769 1.4980 -2.3439 4.4769 1.4980 2.3439 -4.4769" Properties=species:S:1:pos:R:3 pbc="T T T"
Ta 0.0000 0.0000 0.0000
Al 1.4980 0.0000 2.3749
Al 0.0000 2.3439 2.1020
Os 0.0000 0.0000 4.4769
```

Values from the calculation:
The calculation puts the energy above the most stable polymorph in this dataset at 0.188 eV/atom. The energy of formation from the pure elements is -198 meV per atom.


[9]
A plane-wave DFT calculation with PBE was carried out for crystalline Ta2TePW at its relaxed geometry.

Cell and atoms, written as extended XYZ:
```
5
Lattice="4.9987 0.0000 0.0000 0.0000 4.9987 0.0000 0.0000 0.0000 4.9451" Properties=species:S:1:pos:R:3 pbc="T T T"
Ta 0.0000 2.4994 0.0000
Ta 2.4994 0.0000 0.0000
Te 0.0000 0.0000 2.4726
P 2.4994 2.4994 2.4726
W 0.0000 0.0000 0.0000
```

Values from the calculation:
For the formation energy without anion corrections, the calculation gives 8.4 eV/f.u.


[10]
A plane-wave DFT calculation with PBE was carried out for crystalline Sr2GaTcS at its relaxed geometry.

Cell and atoms, written as extended XYZ:
```
5
Lattice="5.8906 0.0000 0.0000 0.0000 5.8906 0.0000 0.0000 0.0000 4.6980" Properties=species:S:1:pos:R:3 pbc="T T T"
Sr 0.0000 2.9453 0.0000
Sr 2.9453 0.0000 0.0000
Ga 0.0000 0.0000 0.0000
Tc 0.0000 0.0000 2.3490
S 2.9453 2.9453 2.3490
```

Values from the calculation:
For the formation energy without anion corrections, the calculation gives 0.9 eV/f.u.


[11]
A plane-wave DFT calculation with PBE was carried out for crystalline GeBiOs2Au at its relaxed geometry.

Cell and atoms, written as extended XYZ:
```
5
Lattice="4.9887 0.0000 0.0000 0.0000 4.9887 0.0000 0.0000 0.0000 5.3770" Properties=species:S:1:pos:R:3 pbc="T T T"
Ge 0.0000 0.0000 0.0000
Bi 2.4943 2.4943 0.0000
Os 0.0000 2.4943 2.6885
Os 2.4943 0.0000 2.6885
Au 2.4943 2.4943 2.6885
```

Values from the calculation:
The energy of formation from the pure elements is 2238 meV per atom.


[12]
A plane-wave DFT calculation with PBE was carried out for crystalline Ac2BPd5 at its relaxed geometry.

Cell and atoms, written as extended XYZ:
```
8
Lattice="-2.9672 2.9672 4.7796 2.9672 -2.9672 4.7796 2.9672 2.9672 -4.7796" Properties=species:S:1:pos:R:3 pbc="T T T"
Ac 2.9672 0.0000 0.0000
Ac 0.0000 2.9672 0.0000
B 0.0000 0.0000 3.0399
Pd 1.4910 1.4910 -2.3657
Pd 1.4761 -1.4761 2.4140
Pd -1.4761 1.4761 2.4140
Pd 1.4761 1.4761 2.4140
Pd 0.0000 0.0000 5.2499
```

Values from the calculation:
The energy of formation from the pure elements is -638 meV per atom.